(1)
# GdMgIn (GGA-PBEsol, relaxed)
data_GdMgIn
_symmetry_space_group_name_H-M 'P -6 2 m'
_symmetry_Int_Tables_number 189
_symmetry_space_group_name_Hall 'P -6 -2'
_cell_length_a 7.4850
_cell_length_b 7.4850
_cell_length_c 4.6485
_cell_angle_alpha 90.00
_cell_angle_beta 90.00
_cell_angle_gamma 120.00
loop_
_atom_site_label
_atom_site_type_symbol
_atom_site_fract_x
_atom_site_fract_y
_atom_site_fract_z
Gd1 Gd 0.0000 0.5674 0.0000
Mg1 Mg 0.0000 0.2419 0.5000
In1 In 0.0000 0.0000 0.0000
In2 In 0.3333 0.6667 0.5000
# - V (Å³ per cell) = 226
# - energy of formation (eV per atom) = -0.43
# - crystal system = hexagonal

---

(2)
# BaMgAl2 (GGA-PBEsol, relaxed)
data_BaMgAl2
_symmetry_space_group_name_H-M 'P m m 2'
_symmetry_Int_Tables_number 25
_symmetry_space_group_name_Hall 'P 2 -2'
_cell_length_a 3.396
_cell_length_b 3.735
_cell_length_c 8.100
_cell_angle_alpha 90.00
_cell_angle_beta 90.00
_cell_angle_gamma 90.00
loop_
_atom_site_label
_atom_site_type_symbol
_atom_site_fract_x
_atom_site_fract_y
_atom_site_fract_z
Ba1 Ba 0.000 0.000 0.000
Mg1 Mg 0.500 0.500 0.338
Al1 Al 0.000 0.000 0.543
Al2 Al 0.500 0.500 0.701
# - V (Å³ per cell) = 103
# - energy of formation (eV per atom) = 0.01
# - crystal system = orthorhombic

---

(3)
# Ca2AlZn (GGA-PBEsol, relaxed)
data_Ca2AlZn
_symmetry_space_group_name_H-M 'P m m 2'
_symmetry_Int_Tables_number 25
_symmetry_space_group_name_Hall 'P 2 -2'
_cell_length_a 3.567
_cell_length_b 5.158
_cell_length_c 5.261
_cell_angle_alpha 90.00
_cell_angle_beta 90.00
_cell_angle_gamma 90.00
loop_
_atom_site_label
_atom_site_type_symbol
_atom_site_fract_x
_atom_site_fract_y
_atom_site_fract_z
Ca1 Ca 0.000 0.000 0.000
Ca2 Ca 0.000 0.500 0.457
Al1 Al 0.500 0.500 0.942
Zn1 Zn 0.500 0.000 0.526
# - V (Å³ per cell) = 97
# - energy of formation (eV per atom) = -0.21
# - crystal system = orthorhombic

---

(4)
# Re2HgOs2 (GGA-PBEsol, relaxed)
data_Re2HgOs2
_symmetry_space_group_name_H-M 'I 4/m m m'
_symmetry_Int_Tables_number 139
_symmetry_space_group_name_Hall '-I 4 2'
_cell_length_a 3.927
_cell_length_b 3.927
_cell_length_c 11.272
_cell_angle_alpha 90.00
_cell_angle_beta 90.00
_cell_angle_gamma 90.00
loop_
_atom_site_label
_atom_site_type_symbol
_atom_site_fract_x
_atom_site_fract_y
_atom_site_fract_z
Re1 Re 0.000 0.000 0.111
Hg1 Hg 0.000 0.000 0.500
Os1 Os 0.000 0.500 0.250
# - V (Å³ per cell) = 174
# - energy of formation (eV per atom) = 0.70
# - crystal system = tetragonal

---

(5)
# Na4FeO3 (GGA-PBEsol, relaxed)
data_Na4FeO3
_symmetry_space_group_name_H-M 'C 1 c 1'
_symmetry_Int_Tables_number 9
_symmetry_space_group_name_Hall 'C -2yc'
_cell_length_a 10.850
_cell_length_b 5.754
_cell_length_c 8.263
_cell_angle_alpha 90.00
_cell_angle_beta 114.33
_cell_angle_gamma 90.00
loop_
_atom_site_label
_atom_site_type_symbol
_atom_site_fract_x
_atom_site_fract_y
_atom_site_fract_z
Na1 Na 0.000 0.159 0.000
Na2 Na 0.222 0.166 0.416
Na3 Na 0.318 0.340 0.096
Na4 Na 0.420 0.205 0.817
Fe1 Fe 0.093 0.351 0.712
O1 O 0.048 0.057 0.759
O2 O 0.260 0.489 0.808
O3 O 0.430 0.000 0.077
# - V (Å³ per cell) = 470
# - crystal system = monoclinic
# - E_form (uncorrected) (eV/atom) = -1.26

---

(6)
# K2TeS3 (GGA-PBEsol, relaxed)
data_K2TeS3
_symmetry_space_group_name_H-M 'P 1 21/c 1'
_symmetry_Int_Tables_number 14
_symmetry_space_group_name_Hall '-P 2ybc'
_cell_length_a 6.302
_cell_length_b 8.881
_cell_length_c 14.583
_cell_angle_alpha 90.00
_cell_angle_beta 115.22
_cell_angle_gamma 90.00
loop_
_atom_site_label
_atom_site_type_symbol
_atom_site_fract_x
_atom_site_fract_y
_atom_site_fract_z
K1 K 0.004 0.115 0.254
K2 K 0.339 0.130 0.584
Te1 Te 0.276 0.670 0.577
S1 S 0.088 0.128 0.916
S2 S 0.181 0.664 0.938
S3 S 0.465 0.665 0.217
# - V (Å³ per cell) = 738
# - crystal system = monoclinic
# - E_form (uncorrected) (eV/atom) = -0.73

---

(7)
# BaCaP2 (GGA-PBEsol, relaxed)
data_BaCaP2
_symmetry_space_group_name_H-M 'F m -3 m'
_symmetry_Int_Tables_number 225
_symmetry_space_group_name_Hall '-F 4 2 3'
_cell_length_a 7.374
_cell_length_b 7.374
_cell_length_c 7.374
_cell_angle_alpha 90.00
_cell_angle_beta 90.00
_cell_angle_gamma 90.00
loop_
_atom_site_label
_atom_site_type_symbol
_atom_site_fract_x
_atom_site_fract_y
_atom_site_fract_z
Ba1 Ba 0.000 0.000 0.000
Ca1 Ca 0.000 0.000 0.500
P1 P 0.250 0.250 0.250
# - V (Å³ per cell) = 401
# - energy of formation (eV per atom) = -0.63
# - polymorph energy (0 for the lowest one) (meV per atom) = 246
# - crystal system = cubic

---

(8)
# Ca2HgB2 (GGA-PBEsol, relaxed)
data_Ca2HgB2
_symmetry_space_group_name_H-M 'I 4/m m m'
_symmetry_Int_Tables_number 139
_symmetry_space_group_name_Hall '-I 4 2'
_cell_length_a 3.031
_cell_length_b 3.031
_cell_length_c 18.795
_cell_angle_alpha 90.00
_cell_angle_beta 90.00
_cell_angle_gamma 90.00
loop_
_atom_site_label
_atom_site_type_symbol
_atom_site_fract_x
_atom_site_fract_y
_atom_site_fract_z
Ca1 Ca 0.000 0.000 0.129
Hg1 Hg 0.000 0.000 0.500
B1 B 0.000 0.500 0.250
# - V (Å³ per cell) = 173
# - energy of formation (eV per atom) = 0.50
# - crystal system = tetragonal

---

Q: Which uncorrected energy values were calculated for the entries above? A: -6.82; -3.00; -2.69; -9.64; -5.05; -3.89; -4.60; -3.27, in eV/atom.